Record 1
VASP calculation (SCAN) on a PBEsol-optimized structure of Ti3BeSb.

a b c (Å): 4.913 4.913 4.913
angles (deg): 90.00 90.00 90.00
Sites, in units of the cell vectors:
Ti  0.000  0.000  0.500
Ti  0.000  0.500  0.000
Ti  0.500  0.000  0.000
Be  0.500  0.500  0.500
Sb  0.000  0.000  0.000

Properties
- formation energy (no corrections) (eV per atom) = 1.16

***

Record 2
VASP calculation (SCAN) on a PBEsol-optimized structure of BeTlSb2.

a b c (Å): 5.086 5.086 5.086
angles (deg): 60.00 60.00 60.00
Sites, in units of the cell vectors:
Be  0.000  0.000  0.000
Tl  0.500  0.500  0.500
Sb  0.250  0.250  0.250
Sb  0.750  0.750  0.750

Properties
- formation energy (no corrections) (eV per atom) = 0.63

***

Record 3
VASP calculation (SCAN) on a PBEsol-optimized structure of BeTlSb2.

a b c (Å): 4.970 4.970 3.875
angles (deg): 90.00 90.00 101.37
Sites, in units of the cell vectors:
Be  0.000  0.000  0.000
Tl  0.500  0.500  0.000
Sb  0.000  0.500  0.500
Sb  0.500  0.000  0.500

Properties
- formation energy (no corrections) (eV per atom) = 0.61

***

Record 4
VASP calculation (SCAN) on a PBEsol-optimized structure of Be2TlSb.

a b c (Å): 4.889 4.889 4.889
angles (deg): 133.57 113.48 84.97
Sites, in units of the cell vectors:
Be  0.242  0.242  0.000
Be  0.758  0.758  0.000
Tl  0.500  0.000  0.500
Sb  0.000  0.500  0.500

Properties
- formation energy (no corrections) (eV per atom) = 0.70

***

Record 5
VASP calculation (SCAN) on a PBEsol-optimized structure of BeTl2Sb.

a b c (Å): 3.601 3.601 7.812
angles (deg): 90.00 90.00 90.00
Sites, in units of the cell vectors:
Be  0.000  0.000  0.000
Tl  0.000  0.000  0.331
Tl  0.500  0.500  0.603
Sb  0.500  0.500  0.993

Properties
- formation energy (no corrections) (eV per atom) = 0.29

***

Record 6
VASP calculation (SCAN) on a PBEsol-optimized structure of Be2TlSb.

a b c (Å): 4.878 4.878 4.878
angles (deg): 125.87 125.87 80.11
Sites, in units of the cell vectors:
Be  0.250  0.750  0.500
Be  0.750  0.250  0.500
Tl  0.000  0.000  0.000
Sb  0.500  0.500  0.000

Properties
- formation energy (no corrections) (eV per atom) = 0.76

***

Record 7
VASP calculation (SCAN) on a PBEsol-optimized structure of BeSbW3.

a b c (Å): 4.272 4.272 4.272
angles (deg): 90.00 90.00 90.00
Sites, in units of the cell vectors:
Be  0.000  0.000  0.000
Sb  0.500  0.500  0.500
W  0.000  0.000  0.500
W  0.000  0.500  0.000
W  0.500  0.000  0.000

Properties
- formation energy (no corrections) (eV per atom) = 1.06

***

Record 8
VASP calculation (SCAN) on a PBEsol-optimized structure of BeSbW2.

a b c (Å): 4.950 4.950 4.950
angles (deg): 139.23 128.16 67.96
Sites, in units of the cell vectors:
Be  0.000  0.000  0.000
Sb  0.250  0.750  0.500
W  0.516  0.516  0.000
W  0.768  0.268  0.500

Properties
- formation energy (no corrections) (eV per atom) = 0.56

***

Record 9
VASP calculation (SCAN) on a PBEsol-optimized structure of YBeSb.

a b c (Å): 4.423 4.423 4.423
angles (deg): 60.00 60.00 60.00
Sites, in units of the cell vectors:
Y  0.000  0.000  0.000
Be  0.750  0.750  0.750
Sb  0.500  0.500  0.500

Properties
- formation energy (no corrections) (eV per atom) = -0.21

***

Record 10
VASP calculation (SCAN) on a PBEsol-optimized structure of YBeSb.

a b c (Å): 4.660 4.660 4.660
angles (deg): 60.00 60.00 60.00
Sites, in units of the cell vectors:
Y  0.000  0.000  0.000
Be  0.500  0.500  0.500
Sb  0.750  0.750  0.750

Properties
- formation energy (no corrections) (eV per atom) = 0.17

***

Record 11
VASP calculation (SCAN) on a PBEsol-optimized structure of Y2BeSb2.

a b c (Å): 5.868 5.868 5.868
angles (deg): 119.16 119.16 91.46
Sites, in units of the cell vectors:
Y  0.250  0.750  0.500
Y  0.750  0.250  0.500
Be  0.000  0.000  0.000
Sb  0.292  0.292  0.000
Sb  0.708  0.708  0.000

Properties
- formation energy (no corrections) (eV per atom) = -0.28

***

Record 12
VASP calculation (SCAN) on a PBEsol-optimized structure of Be2ZnSb.

a b c (Å): 4.394 4.394 4.394
angles (deg): 60.00 60.00 60.00
Sites, in units of the cell vectors:
Be  0.250  0.250  0.250
Be  0.750  0.750  0.750
Zn  0.000  0.000  0.000
Sb  0.500  0.500  0.500

Properties
- formation energy (no corrections) (eV per atom) = 0.62

***

Record 13
VASP calculation (SCAN) on a PBEsol-optimized structure of BeZnSb2.

a b c (Å): 3.431 3.431 7.132
angles (deg): 90.00 90.00 90.00
Sites, in units of the cell vectors:
Be  0.000  0.000  0.000
Zn  0.500  0.500  0.827
Sb  0.000  0.000  0.634
Sb  0.500  0.500  0.193

Properties
- formation energy (no corrections) (eV per atom) = 0.27

***

Record 14
VASP calculation (SCAN) on a PBEsol-optimized structure of BeZn2Sb.

a b c (Å): 4.576 4.576 4.576
angles (deg): 60.00 60.00 60.00
Sites, in units of the cell vectors:
Be  0.000  0.000  0.000
Zn  0.500  0.500  0.500
Zn  0.750  0.750  0.750
Sb  0.250  0.250  0.250

Properties
- formation energy (no corrections) (eV per atom) = 0.50

***

Record 15
VASP calculation (SCAN) on a PBEsol-optimized structure of BeZn2Sb.

a b c (Å): 4.477 4.477 3.744
angles (deg): 90.00 90.00 114.89
Sites, in units of the cell vectors:
Be  0.000  0.000  0.000
Zn  0.000  0.500  0.500
Zn  0.500  0.000  0.500
Sb  0.500  0.500  0.000

Properties
- formation energy (no corrections) (eV per atom) = 0.36

***

Record 16
VASP calculation (SCAN) on a PBEsol-optimized structure of BeZnSb2.

a b c (Å): 3.853 3.918 5.275
angles (deg): 90.00 90.00 90.00
Sites, in units of the cell vectors:
Be  0.000  0.000  0.000
Zn  0.000  0.500  0.500
Sb  0.500  0.000  0.500
Sb  0.500  0.500  0.000

Properties
- formation energy (no corrections) (eV per atom) = 0.48